(1)
Material: La3PrAl
Method: DFT, PBE
State: relaxed

a = 3.722 Å, b = 9.368 Å, c = 9.815 Å
α = 103.68°, β = 100.86°, γ = 89.98°
Sites, in units of the cell vectors:
Pr  0.008  0.143  0.267
Pr  0.822  0.081  0.908
La  0.226  0.748  0.710
La  0.621  0.953  0.498
Al  0.796  0.537  0.849
La  0.210  0.271  0.677
Al  0.035  0.688  0.326
La  0.416  0.437  0.092
La  0.414  0.787  0.083
La  0.605  0.477  0.465

Summary:
Energy above the most stable polymorph in this dataset = 0.0 meV per atom
Symmetry = P-1 (2)
Formation energy = -126.5 meV per atom
E_tot = -4.787 eV per atom
Magnetization = 0.0 μB/f.u.

(2)
Material: In2ReRh
Method: DFT, PBE
State: relaxed

a = 5.218 Å, b = 5.218 Å, c = 5.218 Å
α = 134.75°, β = 134.75°, γ = 65.92°
Sites, in units of the cell vectors:
Re  0.500  0.500  0.000
Rh  0.750  0.250  0.500
In  0.250  0.750  0.500
In  0.000  0.000  0.000

Summary:
Energy above the most stable polymorph in this dataset = 273.6 meV per atom
Symmetry = I-4m2 (119)
Formation energy = 421.9 meV per atom
E_tot = -5.897 eV per atom
Magnetization = 0.7 μB/f.u.

(3)
Material: MgBeRuS2
Method: DFT, PBE
State: relaxed

a = 4.520 Å, b = 5.112 Å, c = 4.520 Å
α = 90.00°, β = 90.00°, γ = 90.00°
Sites, in units of the cell vectors:
S  0.500  0.000  0.000
Mg  0.000  0.500  0.000
S  0.000  0.000  0.500
Be  0.500  0.500  0.500
Ru  0.000  0.000  0.000

Summary:
Formation energy without anion corrections = 59 kJ per mole of atoms
Symmetry = P4/mmm (123)
E_tot = -3.962 eV per atom
Magnetization = 0.0 μB/f.u.

(4)
Material: ScAgSe3
Method: DFT, PBE
State: relaxed

a = 5.164 Å, b = 5.164 Å, c = 5.164 Å
α = 90.00°, β = 90.00°, γ = 90.00°
Sites, in units of the cell vectors:
Ag  0.500  0.500  0.500
Se  0.500  0.000  0.000
Sc  0.000  0.000  0.000
Se  0.000  0.000  0.500
Se  0.000  0.500  0.000

Summary:
Energy above the most stable polymorph in this dataset = 0.0 meV per atom
Formation energy without anion corrections = -28 kJ per mole of atoms
Symmetry = Pm-3m (221)
E_tot = -4.212 eV per atom
Magnetization = 0.3 μB/f.u.

(5)
Material: CaTl2BiTe4
Method: DFT, PBE
State: relaxed

a = 4.551 Å, b = 7.975 Å, c = 8.120 Å
α = 108.81°, β = 90.00°, γ = 90.00°
Sites, in units of the cell vectors:
Te  0.500  0.758  0.770
Te  0.000  0.745  0.230
Bi  0.000  0.000  0.000
Te  0.000  0.255  0.770
Te  0.500  0.242  0.230
Tl  0.500  0.000  0.500
Ca  0.500  0.500  0.000
Tl  0.000  0.500  0.500

Summary:
Formation energy without anion corrections = -55 kJ per mole of atoms
Symmetry = P2/m (10)
E_tot = -3.470 eV per atom
Magnetization = 0.0 μB/f.u.

(6)
Material: NbSbRhO6
Method: DFT, PBE
State: relaxed

a = 5.311 Å, b = 5.311 Å, c = 8.919 Å
α = 90.00°, β = 90.00°, γ = 120.00°
Sites, in units of the cell vectors:
O  0.000  0.347  0.130
O  0.653  0.652  0.130
O  0.652  0.000  0.870
Rh  0.000  0.000  0.000
O  0.000  0.348  0.630
Nb  0.667  0.333  0.750
O  0.653  0.000  0.370
Nb  0.333  0.667  0.250
O  0.652  0.653  0.630
O  0.000  0.653  0.870
O  0.347  0.000  0.630
O  0.000  0.652  0.370
O  0.348  0.347  0.370
Sb  0.667  0.333  0.250
O  0.348  0.000  0.130
O  0.347  0.348  0.870
Sb  0.333  0.667  0.750
Rh  0.000  0.000  0.500

Summary:
Formation energy without anion corrections = -138 kJ per mole of atoms
Symmetry = P-31c (163)
E_tot = -7.129 eV per atom
Magnetization = 1.0 μB/f.u.

(7)
Material: LiAcAs2Pt7
Method: DFT, PBE
State: relaxed

a = 4.496 Å, b = 4.496 Å, c = 10.205 Å
α = 102.72°, β = 102.72°, γ = 90.00°
Sites, in units of the cell vectors:
Pt  0.298  0.298  0.597
Pt  0.702  0.702  0.403
Li  0.250  0.750  0.500
As  0.826  0.826  0.653
Pt  0.111  0.611  0.222
Pt  0.000  0.000  0.000
As  0.174  0.174  0.347
Pt  0.614  0.114  0.227
Pt  0.389  0.889  0.778
Pt  0.886  0.386  0.773
Ac  0.500  0.500  0.000

Summary:
Symmetry = I-4m2 (119)
Formation energy = -362.5 meV per atom
E_tot = -5.599 eV per atom
Magnetization = 0.0 μB/f.u.

(8)
Material: K2HgH6Pt
Method: DFT, PBE
State: relaxed

a = 7.926 Å, b = 5.461 Å, c = 5.461 Å
α = 120.00°, β = 90.00°, γ = 90.00°
Sites, in units of the cell vectors:
H  0.121  0.857  0.143
H  0.121  0.857  0.715
H  0.121  0.285  0.143
H  0.879  0.715  0.857
K  0.165  0.333  0.667
Pt  0.000  0.000  0.000
H  0.879  0.143  0.285
H  0.879  0.143  0.857
K  0.835  0.667  0.333
Hg  0.500  0.000  0.000

Summary:
Symmetry = P-3m1 (164)
E_tot = -3.181 eV per atom
Magnetization = 0.0 μB/f.u.